# SnBiS3

A relaxed SnBiS3 crystal (PBE, Alexandria).

## Properties
Uncorrected energy   -4.20 eV per atom
Spin magnetization   0.00 μB/cell
E_form (uncorrected)   -0.15 eV/atom
Offset from the most stable computed form   0.030 eV per formula unit

```
SnBiS3
1.0
3.492 0.000 0.000
0.000 6.914 0.000
0.000 0.000 11.472
Sn Bi S
2 2 6
direct
0.250 0.250 0.246
0.750 0.750 0.754
0.250 0.250 0.825
0.750 0.750 0.175
0.250 0.508 0.658
0.250 0.750 0.919
0.250 0.992 0.658
0.750 0.008 0.342
0.750 0.250 0.081
0.750 0.492 0.342
```

***

# CaScTl

A relaxed CaScTl crystal (PBE, Alexandria).

## Properties
ΔH_f (0 K)   -18.0 kJ/mol of atoms
Uncorrected energy   -3.75 eV per atom
Spin magnetization   0.98 μB/cell
Offset from the most stable computed form   0.300 eV per formula unit

```
CaScTl
1.0
-1.853 1.853 12.925
1.853 -1.853 12.925
1.853 1.853 -12.925
Ca Sc Tl
2 2 2
direct
0.072 0.072 0.000
0.928 0.928 0.000
0.215 0.215 0.000
0.785 0.785 0.000
0.348 0.348 0.000
0.652 0.652 0.000
```